Record 1
{
  "formula": "TiBeAl",
  "functional": "PBE",
  "state": "optimized geometry",
  "space_group": "F-43m (216)",
  "dos_ef_per_ev_atom": 0.54,
  "vol_a3_per_atom": 14.76,
  "relative_energy_ev_per_atom": 0.208,
  "cell": [[-3.8853, 0.0313, 0.8189], [-2.0780, -3.3820, -0.1032], [-1.3310, -1.6162, 3.3739]],
  "species": ["Be", "Al", "Ti"],
  "fractional_positions": [[0.2500, 0.2500, 0.2500], [0.0000, 0.0000, 0.0000], [0.5000, 0.5000, 0.5000]]
}

***

Record 2
{
  "formula": "Hf6Co2Tc",
  "functional": "PBE",
  "state": "optimized geometry",
  "space_group": "Immm (71)",
  "total_energy_ev_per_atom": -9.6723,
  "dos_ef_per_ev_atom": 0.87,
  "vol_a3_per_atom": 18.53,
  "cell": [[-3.7524, -5.2927, -3.8999], [3.4784, -3.4681, 5.7598], [-4.7949, 5.2734, 2.5500]],
  "species": ["Hf", "Hf", "Hf", "Hf", "Hf", "Hf", "Hf", "Hf", "Hf", "Hf", "Hf", "Hf", "Co", "Co", "Co", "Co", "Tc", "Tc"],
  "fractional_positions": [[0.1828, 0.7095, 0.8923], [0.8172, 0.2905, 0.1077], [0.1828, 0.2905, 0.4733], [0.8172, 0.7095, 0.5267], [0.9586, 0.7647, 0.1938], [0.0414, 0.2353, 0.8062], [0.5709, 0.7647, 0.8062], [0.4291, 0.2353, 0.1938], [0.6717, 0.3788, 0.7070], [0.3283, 0.6212, 0.2930], [0.6717, 0.9647, 0.2930], [0.3283, 0.0353, 0.7070], [0.8635, 0.3635, 0.5000], [0.1365, 0.6365, 0.5000], [0.3508, 0.0000, 0.3508], [0.6492, 0.0000, 0.6492], [0.5000, 0.5000, 0.0000], [0.0000, 0.0000, 0.0000]]
}

***

Record 3
{
  "formula": "CaCdSn",
  "functional": "PBE",
  "state": "optimized geometry",
  "space_group": "P1 (1)",
  "total_energy_ev_per_atom": -2.6620,
  "dos_ef_per_ev_atom": 0.46,
  "vol_a3_per_atom": 27.46,
  "cell": [[-0.9090, -2.4000, 5.4278], [0.6912, -3.2960, -3.5191], [6.3122, 1.8690, -0.5434]],
  "species": ["Ca", "Ca", "Sn", "Sn", "Cd", "Cd"],
  "fractional_positions": [[0.7057, 0.5744, 0.1354], [0.3100, 0.8759, 0.7167], [0.3304, 0.8822, 0.2266], [0.9305, 0.1873, 0.4662], [0.6580, 0.5505, 0.6278], [0.0277, 0.2339, 0.9717]]
}

***

Record 4
{
  "formula": "Y3CrPt12",
  "functional": "PBE",
  "state": "optimized geometry",
  "space_group": "P4/mmm (123)",
  "total_energy_ev_per_atom": -7.1379,
  "dos_ef_per_ev_atom": 1.07,
  "vol_a3_per_atom": 16.95,
  "cell": [[-0.4595, -1.9643, 3.5425], [4.0461, -0.3927, 0.3071], [0.7739, 14.2139, 7.9819]],
  "species": ["Y", "Y", "Y", "Cr", "Pt", "Pt", "Pt", "Pt", "Pt", "Pt", "Pt", "Pt", "Pt", "Pt", "Pt", "Pt"],
  "fractional_positions": [[0.0000, 0.0000, 0.2453], [0.0000, 0.0000, 0.5000], [0.0000, 0.0000, 0.7547], [0.0000, 0.0000, 0.0000], [0.5000, 0.5000, 0.0000], [0.5000, 0.5000, 0.2429], [0.5000, 0.5000, 0.5000], [0.5000, 0.5000, 0.7571], [0.5000, 0.0000, 0.1139], [0.5000, 0.0000, 0.3720], [0.5000, 0.0000, 0.6280], [0.5000, 0.0000, 0.8861], [0.0000, 0.5000, 0.1139], [0.0000, 0.5000, 0.3720], [0.0000, 0.5000, 0.6280], [0.0000, 0.5000, 0.8861]]
}

***

Record 5
{
  "formula": "Tm5Mg4Tl4",
  "functional": "PBE",
  "state": "optimized geometry",
  "space_group": "I4/m (87)",
  "total_energy_ev_per_atom": -3.1670,
  "dos_ef_per_ev_atom": 0.59,
  "vol_a3_per_atom": 25.91,
  "cell": [[-2.6764, -2.4211, -2.8323], [-4.7506, -5.2943, 5.2994], [-7.4035, 4.8139, -0.8346]],
  "species": ["Tm", "Tm", "Tm", "Tm", "Tm", "Mg", "Mg", "Mg", "Mg", "Tl", "Tl", "Tl", "Tl"],
  "fractional_positions": [[0.6940, 0.9252, 0.6867], [0.3060, 0.0748, 0.3133], [0.0000, 0.0000, 0.0000], [0.6192, 0.6867, 0.0748], [0.3808, 0.3133, 0.9252], [0.8955, 0.5174, 0.6916], [0.5871, 0.3084, 0.5174], [0.1045, 0.4826, 0.3084], [0.4129, 0.6916, 0.4826], [0.7525, 0.3205, 0.1745], [0.2475, 0.6795, 0.8255], [0.9270, 0.8255, 0.3205], [0.0730, 0.1745, 0.6795]]
}

***

Record 6
{
  "formula": "TcBrF2",
  "functional": "PBE",
  "state": "optimized geometry",
  "space_group": "I4_1/amd (141)",
  "dos_ef_per_ev_atom": 0.39,
  "vol_a3_per_atom": 19.57,
  "relative_energy_ev_per_atom": 0.135,
  "cell": [[-0.6622, -4.4116, -1.8673], [0.9965, -1.9707, 4.3024], [-6.3184, -2.9083, 2.8492]],
  "species": ["Tc", "Tc", "Br", "Br", "F", "F", "F", "F"],
  "fractional_positions": [[0.0000, 0.0000, 0.0000], [0.7500, 0.2500, 0.5000], [0.5000, 0.5000, 0.0000], [0.2500, 0.7500, 0.5000], [0.8751, 0.1250, 0.2500], [0.8749, 0.6250, 0.2500], [0.3750, 0.1249, 0.7500], [0.8750, 0.1251, 0.7500]]
}

***

Record 7
{
  "formula": "ScCr3",
  "functional": "PBE",
  "state": "optimized geometry",
  "space_group": "P4/mmm (123)",
  "total_energy_ev_per_atom": -8.5739,
  "dos_ef_per_ev_atom": 0.86,
  "vol_a3_per_atom": 14.65,
  "cell": [[3.0068, 0.0000, 0.0000], [0.0000, 3.0068, 0.0000], [0.0000, 0.0000, 6.4801]],
  "species": ["Cr", "Cr", "Cr", "Sc"],
  "fractional_positions": [[0.0000, 0.0000, 0.0398], [0.0000, 0.0000, 0.4602], [0.5000, 0.5000, 0.2500], [0.5000, 0.5000, 0.7500]]
}

***

Record 8
{
  "formula": "Pr8RuRh3Cl4",
  "functional": "PBE",
  "state": "optimized geometry",
  "space_group": "C2/m (12)",
  "total_energy_ev_per_atom": -5.9058,
  "dos_ef_per_ev_atom": 0.36,
  "vol_a3_per_atom": 27.92,
  "cell": [[-3.6025, 6.3712, 3.6949], [3.4688, -2.6224, 7.9039], [5.2702, 1.2705, -6.1490]],
  "species": ["Pr", "Pr", "Pr", "Pr", "Pr", "Pr", "Pr", "Pr", "Ru", "Rh", "Rh", "Rh", "Cl", "Cl", "Cl", "Cl"],
  "fractional_positions": [[0.2334, 0.7066, 0.9737], [0.2334, 0.7066, 0.4669], [0.2652, 0.2963, 0.5305], [0.7402, 0.7066, 0.9737], [0.2598, 0.2934, 0.0263], [0.7348, 0.7037, 0.4695], [0.7666, 0.2934, 0.5331], [0.7666, 0.2934, 0.0263], [0.0000, 0.5000, 0.0000], [0.5000, 0.5000, 0.0000], [0.5000, 0.5000, 0.5000], [0.0000, 0.5000, 0.5000], [0.5000, 0.0000, 0.0000], [0.5000, 0.0000, 0.5000], [0.0000, 0.0000, 0.0000], [0.0000, 0.0000, 0.5000]]
}

***

Record 9
{
  "formula": "Ac2MgAl2",
  "functional": "PBE",
  "state": "optimized geometry",
  "space_group": "Immm (71)",
  "dos_ef_per_ev_atom": 1.26,
  "vol_a3_per_atom": 29.94,
  "relative_energy_ev_per_atom": 0.030,
  "cell": [[4.7457, 0.0000, 0.0000], [2.3729, 5.9391, 0.6415], [2.3729, 2.2085, 5.5503]],
  "species": ["Ac", "Ac", "Mg", "Al", "Al"],
  "fractional_positions": [[0.2014, 0.2986, 0.2986], [0.7986, 0.7014, 0.7014], [0.0000, 0.0000, 0.0000], [0.5000, 0.2693, 0.7307], [0.5000, 0.7307, 0.2693]]
}

***

Record 10
{
  "formula": "Zr2MnN",
  "functional": "PBE",
  "state": "optimized geometry",
  "space_group": "R-3m (166)",
  "total_energy_ev_per_atom": -9.0439,
  "dos_ef_per_ev_atom": 0.70,
  "vol_a3_per_atom": 17.13,
  "cell": [[3.1762, 0.0000, 0.0000], [1.5881, 2.7506, 0.0000], [1.5881, 0.9169, 7.8411]],
  "species": ["Mn", "Zr", "Zr", "N"],
  "fractional_positions": [[0.0000, 0.0000, 0.0000], [0.1108, 0.1108, 0.6677], [0.8892, 0.8892, 0.3323], [0.5000, 0.5000, 0.5000]]
}